No. 1
Computed, not measured: an optimized crystal structure of Ta2CrAs at the GGA-PBE level of DFT.

a = 3.1228 Å, b = 3.1228 Å, c = 23.7079 Å
α = 90.00°, β = 90.00°, γ = 120.00°
Space group R3m (No. 160, hexagonal axes)
Inequivalent atoms, fractional coordinates:
Ta  0.0000  0.0000  0.0000 x3
Ta  0.0000  0.0000  0.2382 x3
Cr  0.0000  0.0000  0.4901 x3
As  0.0000  0.0000  0.7521 x3

E_tot ... -0.685 Ry/atom



No. 2
Computed, not measured: an optimized crystal structure of Er4Se3S2 at the GGA-PBE level of DFT.

a = 13.1354 Å, b = 3.9352 Å, c = 9.1535 Å
α = 90.00°, β = 97.36°, γ = 90.00°
Space group C2/m (No. 12)
Inequivalent atoms, fractional coordinates:
Er  0.1429  0.0000  0.0890 x4
Er  0.1657  0.5000  0.6186 x4
Se  0.0000  0.5000  0.0000 x2
Se  0.1198  0.0000  0.4003 x4
S  0.2146  0.0000  0.8233 x4

E above lowest polymorph ... 96 meV/atom



No. 3
Computed, not measured: an optimized crystal structure of Tl2MoPb at the GGA-PBE level of DFT.

a = 6.7180 Å, b = 9.1550 Å, c = 3.1501 Å
α = 90.00°, β = 90.00°, γ = 90.00°
Space group Cmmm (No. 65)
Inequivalent atoms, fractional coordinates:
Tl  0.2500  0.2500  0.0000 x4
Mo  0.0000  0.0000  0.5000 x2
Pb  0.0000  0.5000  0.5000 x2

E above lowest polymorph ... 303 meV/atom



No. 4
Computed, not measured: an optimized crystal structure of TiIn2I5 at the GGA-PBE level of DFT.

a = 8.2312 Å, b = 8.2312 Å, c = 12.1473 Å
α = 90.00°, β = 90.00°, γ = 90.00°
Space group I4mm (No. 107)
Inequivalent atoms, fractional coordinates:
Ti  0.0000  0.0000  0.0000 x2
In  0.0000  0.5000  0.3037 x4
I  0.0000  0.0000  0.2144 x2
I  0.2318  0.2318  0.9447 x8

E_tot ... -0.235 Ry/atom



No. 5
Computed, not measured: an optimized crystal structure of Zr2Al5Cu at the GGA-PBE level of DFT.

a = 4.5274 Å, b = 4.5274 Å, c = 13.4557 Å
α = 90.00°, β = 90.00°, γ = 90.00°
Space group I4/mmm (No. 139)
Inequivalent atoms, fractional coordinates:
Zr  0.0000  0.0000  0.2485 x4
Al  0.0000  0.0000  0.0000 x2
Al  0.0000  0.5000  0.1071 x8
Cu  0.0000  0.0000  0.5000 x2

E above lowest polymorph ... 258 meV/atom



No. 6
Computed, not measured: an optimized crystal structure of ZnSO2 at the GGA-PBE level of DFT.

a = 4.1383 Å, b = 4.1383 Å, c = 11.8672 Å
α = 90.00°, β = 90.00°, γ = 90.00°
Space group I-42d (No. 122)
Inequivalent atoms, fractional coordinates:
Zn  0.0000  0.0000  0.0000 x4
S  0.0000  0.0000  0.5000 x4
O  0.2397  0.2500  0.6250 x8

E above lowest polymorph ... 521 meV/atom